## ThHF4 (PBE-GGA)

Data for a relaxed ThHF4 crystal.

Unit cell a=5.6060 b=5.6060 c=7.5787 alpha=111.71 beta=111.71 gamma=90.00
With the nearest neighbours (Å) after each atom.
Atoms (fractional coordinates):
F (0.3496, 0.4677, 0.3174)  2 Th 2.35, 1 F 2.54
Th (0.2500, 0.2500, 0.5000)  8 F 2.35
F (0.1504, 0.6504, 0.6826)  2 Th 2.35, 1 F 2.54
F (0.8496, 0.3496, 0.3174)  2 Th 2.35, 1 F 2.54
F (0.0323, 0.1504, 0.6826)  2 Th 2.35, 1 F 2.54
F (0.6504, 0.5323, 0.6826)  2 Th 2.35, 1 F 2.54
F (0.5323, 0.0323, 0.6826)  2 Th 2.35, 1 F 2.54
H (0.0000, 0.0000, 0.0000)  8 F 2.89, 2 Th 3.23
F (0.9677, 0.8496, 0.3174)  2 Th 2.35, 1 F 2.54
H (0.5000, 0.5000, 0.0000)  8 F 2.89, 2 Th 3.23
Th (0.7500, 0.7500, 0.5000)  8 F 2.35
F (0.4677, 0.9677, 0.3174)  2 Th 2.35, 1 F 2.54

Output
Total energy   -72.7 eV for the cell shown